Record 1
Entry from the Alexandria database: an optimized crystal structure of Ca2NbI (GGA-PBE).

Cell: 8.640 8.640 7.160 Å, 90.00 90.00 90.00°
Space group I-42d (No. 122)
Asymmetric unit:
Ca1 0.244 0.250 0.125 [8 per cell]
Nb1 0.000 0.000 0.500 [4 per cell]
I1 0.000 0.000 0.000 [4 per cell]

Output
The value obtained for the relative energy among the computed polymorphs is 38 meV/atom. The value obtained for the total magnetic moment is 0.984 μB per atom. The calculation puts the final energy at -3.40 eV/atom. The calculation puts the uncorrected formation energy at 2.03 eV per formula unit.

---

Record 2
Entry from the Alexandria database: an optimized crystal structure of CaNb2I (GGA-PBE).

Cell: 7.098 7.098 7.098 Å, 90.00 90.00 90.00°
Space group Fm-3m (No. 225)
Asymmetric unit:
Ca1 0.000 0.000 0.000 [4 per cell]
Nb1 0.250 0.250 0.250 [8 per cell]
I1 0.000 0.000 0.500 [4 per cell]

Output
The value obtained for the relative energy among the computed polymorphs is 472 meV/atom. The value obtained for the total magnetic moment is 0.934 μB per atom. The calculation puts the final energy at -4.86 eV/atom. The calculation puts the uncorrected formation energy at 4.24 eV per formula unit.

---

Record 3
Entry from the Alexandria database: an optimized crystal structure of CaNbI2 (GGA-PBE).

Cell: 7.371 7.371 7.371 Å, 90.00 90.00 90.00°
Space group Fm-3m (No. 225)
Asymmetric unit:
Ca1 0.000 0.000 0.000 [4 per cell]
Nb1 0.000 0.000 0.500 [4 per cell]
I1 0.250 0.250 0.250 [8 per cell]

Output
The value obtained for the relative energy among the computed polymorphs is 0 meV/atom. The value obtained for the total magnetic moment is 0.250 μB per atom. The calculation puts the final energy at -3.77 eV/atom. The calculation puts the uncorrected formation energy at 0.09 eV per formula unit.

---

Record 4
Entry from the Alexandria database: an optimized crystal structure of CaNbI3 (GGA-PBE).

Cell: 5.757 5.757 5.757 Å, 90.00 90.00 90.00°
Space group Pm-3m (No. 221)
Asymmetric unit:
Ca1 0.000 0.000 0.000 [1 per cell]
Nb1 0.500 0.500 0.500 [1 per cell]
I1 0.000 0.500 0.500 [3 per cell]

Output
The value obtained for the relative energy among the computed polymorphs is 0 meV/atom. The value obtained for the total magnetic moment is 0.691 μB per atom. The calculation puts the final energy at -3.51 eV/atom. The calculation puts the uncorrected formation energy at -0.82 eV per formula unit.

---

Record 5
Entry from the Alexandria database: an optimized crystal structure of CaNbIO2 (GGA-PBE).

Cell: 4.347 4.347 5.850 Å, 90.00 90.00 90.00°
Space group P4/mmm (No. 123)
Asymmetric unit:
Ca1 0.000 0.000 0.000 [1 per cell]
Nb1 0.500 0.500 0.500 [1 per cell]
I1 0.000 0.000 0.500 [1 per cell]
O1 0.000 0.500 0.000 [2 per cell]

Output
The value obtained for the relative energy among the computed polymorphs is 1325 meV/atom. The value obtained for the total magnetic moment is 0.671 μB per atom. The calculation puts the final energy at -4.80 eV/atom. The calculation puts the uncorrected formation energy at -0.47 eV per formula unit.

---

Record 6
Entry from the Alexandria database: an optimized crystal structure of CaNbIO2 (GGA-PBE).

Cell: 4.141 4.141 5.757 Å, 90.00 90.00 90.00°
Space group P4/mmm (No. 123)
Asymmetric unit:
Ca1 0.000 0.000 0.000 [1 per cell]
Nb1 0.500 0.500 0.500 [1 per cell]
I1 0.500 0.500 0.000 [1 per cell]
O1 0.000 0.500 0.500 [2 per cell]

Output
The value obtained for the relative energy among the computed polymorphs is 0 meV/atom. The value obtained for the total magnetic moment is 0.000 μB per atom. The calculation puts the final energy at -6.13 eV/atom. The calculation puts the uncorrected formation energy at -7.10 eV per formula unit.

---

Record 7
Entry from the Alexandria database: an optimized crystal structure of CaNbPtI2 (GGA-PBE).

Cell: 5.524 5.524 5.064 Å, 90.00 90.00 90.00°
Space group P4/mmm (No. 123)
Asymmetric unit:
Ca1 0.000 0.000 0.000 [1 per cell]
Nb1 0.500 0.500 0.500 [1 per cell]
Pt1 0.500 0.500 0.000 [1 per cell]
I1 0.000 0.500 0.500 [2 per cell]

Output
The value obtained for the total magnetic moment is 0.164 μB per atom. The calculation puts the final energy at -4.26 eV/atom. The calculation puts the uncorrected formation energy at -0.08 eV per formula unit.

---

Record 8
Entry from the Alexandria database: an optimized crystal structure of Rb2CaNbI6 (GGA-PBE).

Cell: 12.024 12.024 12.024 Å, 90.00 90.00 90.00°
Space group Fm-3m (No. 225)
Asymmetric unit:
Rb1 0.250 0.250 0.250 [8 per cell]
Ca1 0.000 0.000 0.000 [4 per cell]
Nb1 0.000 0.000 0.500 [4 per cell]
I1 0.000 0.000 0.257 [24 per cell]

Output
The value obtained for the total magnetic moment is 0.300 μB per atom. The calculation puts the final energy at -3.39 eV/atom. The calculation puts the uncorrected formation energy at -10.55 eV per formula unit.

---

Record 9
Entry from the Alexandria database: an optimized crystal structure of CaNb2ReI (GGA-PBE).

Cell: 4.745 4.745 5.186 Å, 90.00 90.00 90.00°
Space group P4/mmm (No. 123)
Asymmetric unit:
Ca1 0.000 0.000 0.000 [1 per cell]
Nb1 0.000 0.500 0.000 [2 per cell]
Re1 0.500 0.500 0.500 [1 per cell]
I1 0.000 0.000 0.500 [1 per cell]

Output
The value obtained for the total magnetic moment is 0.000 μB per atom. The calculation puts the final energy at -4.45 eV/atom. The calculation puts the uncorrected formation energy at 13.89 eV per formula unit.

---

Record 10
Entry from the Alexandria database: an optimized crystal structure of CaNbSbI2 (GGA-PBE).

Cell: 5.654 5.654 5.515 Å, 90.00 90.00 90.00°
Space group P4/mmm (No. 123)
Asymmetric unit:
Ca1 0.000 0.000 0.000 [1 per cell]
Nb1 0.500 0.500 0.500 [1 per cell]
Sb1 0.500 0.500 0.000 [1 per cell]
I1 0.000 0.500 0.500 [2 per cell]

Output
The value obtained for the relative energy among the computed polymorphs is 0 meV/atom. The value obtained for the total magnetic moment is 0.327 μB per atom. The calculation puts the final energy at -3.94 eV/atom. The calculation puts the uncorrected formation energy at -0.40 eV per formula unit.

---

Record 11
Entry from the Alexandria database: an optimized crystal structure of CaNbSb2I (GGA-PBE).

Cell: 5.374 5.374 5.809 Å, 90.00 90.00 90.00°
Space group P4/mmm (No. 123)
Asymmetric unit:
Ca1 0.000 0.000 0.000 [1 per cell]
Nb1 0.500 0.500 0.500 [1 per cell]
Sb1 0.000 0.500 0.500 [2 per cell]
I1 0.500 0.500 0.000 [1 per cell]

Output
The value obtained for the relative energy among the computed polymorphs is 0 meV/atom. The value obtained for the total magnetic moment is 0.078 μB per atom. The calculation puts the final energy at -4.44 eV/atom. The calculation puts the uncorrected formation energy at -0.33 eV per formula unit.

---

Record 12
Entry from the Alexandria database: an optimized crystal structure of CaNbSbI2 (GGA-PBE).

Cell: 5.337 5.337 6.682 Å, 90.00 90.00 90.00°
Space group P4/mmm (No. 123)
Asymmetric unit:
Ca1 0.000 0.000 0.000 [1 per cell]
Nb1 0.000 0.000 0.500 [1 per cell]
Sb1 0.500 0.500 0.000 [1 per cell]
I1 0.000 0.500 0.500 [2 per cell]

Output
The value obtained for the relative energy among the computed polymorphs is 461 meV/atom. The value obtained for the total magnetic moment is 0.419 μB per atom. The calculation puts the final energy at -3.48 eV/atom. The calculation puts the uncorrected formation energy at 1.90 eV per formula unit.

---

What did the seventh record say?
Entry from the Alexandria database: an optimized crystal structure of CaNbPtI2 (GGA-PBE).

Cell: 5.524 5.524 5.064 Å, 90.00 90.00 90.00°
Space group P4/mmm (No. 123)
Asymmetric unit:
Ca1 0.000 0.000 0.000 [1 per cell]
Nb1 0.500 0.500 0.500 [1 per cell]
Pt1 0.500 0.500 0.000 [1 per cell]
I1 0.000 0.500 0.500 [2 per cell]

Output
The value obtained for the total magnetic moment is 0.164 μB per atom. The calculation puts the final energy at -4.26 eV/atom. The calculation puts the uncorrected formation energy at -0.08 eV per formula unit.

---

Copy entry 11 word for word.
Entry from the Alexandria database: an optimized crystal structure of CaNbSb2I (GGA-PBE).

Cell: 5.374 5.374 5.809 Å, 90.00 90.00 90.00°
Space group P4/mmm (No. 123)
Asymmetric unit:
Ca1 0.000 0.000 0.000 [1 per cell]
Nb1 0.500 0.500 0.500 [1 per cell]
Sb1 0.000 0.500 0.500 [2 per cell]
I1 0.500 0.500 0.000 [1 per cell]

Output
The value obtained for the relative energy among the computed polymorphs is 0 meV/atom. The value obtained for the total magnetic moment is 0.078 μB per atom. The calculation puts the final energy at -4.44 eV/atom. The calculation puts the uncorrected formation energy at -0.33 eV per formula unit.

---

> Which of these has the highest total magnetic moment?

Ca2NbI